(1)
## Ta2MnZnH (PBE)

Data for a relaxed structure of Ta2MnZnH.

## Properties
The density of states at the Fermi level comes out at 0.770 states/eV per atom. As for the calculated density: 12.59 Mg/m³. The calculation puts the calculated total energy at -37.5 eV for the cell shown. Its calculated volume is 63.8 Å³/f.u.

Structure (extended XYZ):
```
5
Lattice="4.152 0.000 0.000 0.000 4.152 0.000 0.000 0.000 3.698" Properties=species:S:1:pos:R:3 pbc="T T T"
H 0.000 0.000 0.000
Ta 2.076 0.000 0.000
Ta 0.000 2.076 0.000
Mn 0.000 0.000 1.849
Zn 2.076 2.076 1.849
```

(2)
## DyYP2 (PBE)

Data for a relaxed structure of DyYP2.

## Properties
The density of states at the Fermi level comes out at 0.113 states/eV per atom. The value obtained for the relative energy among the computed polymorphs is 0.07 kJ per mole of atoms. As for the calculated density: 5.70 Mg/m³. The value obtained for the formation energy is -1.622 eV/atom. The calculation puts the calculated total energy at -28.4 eV for the cell shown. Its calculated volume is 91.2 Å³/f.u.

Structure (extended XYZ):
```
4
Lattice="-0.356 2.803 2.849 -2.127 -0.768 3.314 4.559 -1.611 4.984" Properties=species:S:1:pos:R:3 pbc="T T T"
Dy 0.000 0.000 0.000
P 0.516 0.107 2.784
P 1.560 0.316 8.362
Y 1.038 0.212 5.573
```

(3)
## MgZrCuIr (PBE)

Data for a relaxed structure of MgZrCuIr.

## Properties
The density of states at the Fermi level comes out at 0.589 states/eV per atom. As for the calculated density: 9.25 Mg/m³. The value obtained for the formation energy is -0.458 eV/atom. The calculation puts the calculated total energy at -24.9 eV for the cell shown. Its calculated volume is 66.7 Å³/f.u.

Structure (extended XYZ):
```
4
Lattice="-2.699 -1.803 3.190 -0.823 -4.476 0.020 1.777 -2.626 3.266" Properties=species:S:1:pos:R:3 pbc="T T T"
Cu -0.436 -2.226 1.619
Zr 0.000 0.000 0.000
Mg -0.872 -4.453 3.238
Ir -1.309 -6.679 4.857
```

(4)
## KInAu4 (PBE)

Data for a relaxed structure of KInAu4.

## Properties
The density of states at the Fermi level comes out at 0.878 states/eV per atom. The value obtained for the relative energy among the computed polymorphs is 0.00 kJ per mole of atoms. As for the calculated density: 11.77 Mg/m³. The value obtained for the formation energy is -0.154 eV/atom. The calculation puts the calculated total energy at -17.9 eV for the cell shown. Its calculated volume is 132.9 Å³/f.u.

Structure (extended XYZ):
```
6
Lattice="-2.994 -0.806 4.816 -0.292 4.164 3.922 -4.917 2.821 0.822" Properties=species:S:1:pos:R:3 pbc="T T T"
Au -4.573 1.914 5.992
Au -3.222 4.398 5.545
Au -5.533 3.727 3.996
Au -3.076 2.317 3.585
In -6.152 4.634 7.169
K 0.000 0.000 0.000
```

(5)
## Cs2CdAsO4 (PBE)

Data for a relaxed structure of Cs2CdAsO4.

## Properties
The density of states at the Fermi level comes out at 0.290 states/eV per atom. The raw formation energy is -9.9 eV per formula unit. As for the calculated density: 3.89 Mg/m³. The calculation puts the calculated total energy at -73.9 eV for the cell shown. Its calculated volume is 220.9 Å³/f.u.

Structure (extended XYZ):
```
16
Lattice="5.915 0.000 0.000 2.958 6.445 0.000 2.958 0.000 11.589" Properties=species:S:1:pos:R:3 pbc="T T T"
O 4.858 5.413 0.944
O 5.493 2.191 6.739
O 9.295 4.255 6.739
O 9.930 5.413 10.644
O 4.858 1.032 10.644
O 5.493 4.255 4.850
O 3.379 2.191 4.850
O 4.015 1.032 0.944
As 4.436 3.223 5.794
As 2.958 0.000 0.000
Cs 7.394 3.223 9.914
Cs 5.915 0.000 4.119
Cs 7.394 3.223 1.675
Cs 2.958 0.000 7.469
Cd 7.394 3.223 5.794
Cd 0.000 0.000 0.000
```

(6)
## ZnTe2Au (PBE)

Data for a relaxed structure of ZnTe2Au.

## Properties
The density of states at the Fermi level comes out at 0.631 states/eV per atom. The raw formation energy is 1.2 eV per formula unit. As for the calculated density: 9.34 Mg/m³. The calculation puts the calculated total energy at -9.6 eV for the cell shown. Its calculated volume is 92.0 Å³/f.u.

Structure (extended XYZ):
```
4
Lattice="3.518 0.000 0.000 0.000 3.518 0.000 0.000 0.000 7.435" Properties=species:S:1:pos:R:3 pbc="T T T"
Te 0.000 0.000 0.069
Te 0.000 0.000 3.648
Zn 1.759 1.759 1.859
Au 1.759 1.759 5.576
```

(7)
## MgGa2AgSb (PBE)

Data for a relaxed structure of MgGa2AgSb.

## Properties
The density of states at the Fermi level comes out at 0.403 states/eV per atom. The raw formation energy is 2.5 eV per formula unit. As for the calculated density: 4.20 Mg/m³. The calculation puts the calculated total energy at -12.1 eV for the cell shown. Its calculated volume is 155.7 Å³/f.u.

Structure (extended XYZ):
```
5
Lattice="5.443 0.000 0.000 0.000 5.255 0.000 0.000 0.000 5.443" Properties=species:S:1:pos:R:3 pbc="T T T"
Ga 0.000 0.000 2.722
Ga 2.722 0.000 0.000
Sb 0.000 0.000 0.000
Mg 2.722 2.628 2.722
Ag 0.000 2.628 0.000
```

(8)
## Li2Zn2RuO6 (PBE)

Data for a relaxed structure of Li2Zn2RuO6.

## Properties
The density of states at the Fermi level comes out at 0.426 states/eV per atom. The raw formation energy is -13.9 eV per formula unit. As for the calculated density: 4.86 Mg/m³. The calculation puts the calculated total energy at -59.3 eV for the cell shown. Its calculated volume is 116.7 Å³/f.u.

Structure (extended XYZ):
```
11
Lattice="-4.651 1.898 1.375 0.392 -5.152 -0.654 2.698 0.658 4.418" Properties=species:S:1:pos:R:3 pbc="T T T"
Zn 0.027 -2.428 2.244
Zn -1.589 -0.168 2.895
Ru 1.349 0.329 2.209
Li -0.484 -3.928 -0.302
Li -3.776 0.674 1.023
O -1.361 -2.053 3.751
O -0.201 -0.543 1.388
O -3.360 -1.207 2.101
O 0.183 0.870 3.688
O 1.799 -1.389 3.038
O -1.744 -3.466 1.450
```

(9)
## Li2InPd4 (PBE)

Data for a relaxed structure of Li2InPd4.

## Properties
The density of states at the Fermi level comes out at 0.272 states/eV per atom. The value obtained for the relative energy among the computed polymorphs is 11.69 kJ per mole of atoms. As for the calculated density: 7.99 Mg/m³. The value obtained for the formation energy is -0.318 eV/atom. The calculation puts the calculated total energy at -29.6 eV for the cell shown. Its calculated volume is 115.2 Å³/f.u.

Structure (extended XYZ):
```
7
Lattice="5.019 0.054 -1.733 -2.486 4.315 -1.843 0.031 -0.054 5.310" Properties=species:S:1:pos:R:3 pbc="T T T"
Li 2.525 0.000 1.788
Li 1.266 2.185 -1.788
Pd 0.016 -0.027 2.655
Pd 1.282 2.157 0.867
Pd 2.510 0.027 -0.867
Pd -1.243 2.157 -0.922
In 0.000 0.000 0.000
```

(10)
## La2TbDy (PBE)

Data for a relaxed structure of La2TbDy.

## Properties
The density of states at the Fermi level comes out at 1.791 states/eV per atom. The value obtained for the relative energy among the computed polymorphs is 1.27 kJ per mole of atoms. As for the calculated density: 7.24 Mg/m³. The value obtained for the formation energy is 0.024 eV/atom. The calculation puts the calculated total energy at -19.0 eV for the cell shown. Its calculated volume is 137.4 Å³/f.u.

Structure (extended XYZ):
```
4
Lattice="-2.391 -1.938 2.056 2.388 0.055 2.828 -4.094 8.546 3.291" Properties=species:S:1:pos:R:3 pbc="T T T"
Tb -2.049 3.331 4.088
La -1.021 2.131 0.821
La -3.073 6.415 2.471
Dy -0.002 -0.942 2.442
```

(11)
## ScHg2Rh (PBE)

Data for a relaxed structure of ScHg2Rh.

## Properties
The density of states at the Fermi level comes out at 0.866 states/eV per atom. As for the calculated density: 12.06 Mg/m³. The value obtained for the formation energy is -0.273 eV/atom. The calculation puts the calculated total energy at -15.4 eV for the cell shown. Its calculated volume is 75.6 Å³/f.u.

Structure (extended XYZ):
```
4
Lattice="-3.784 -0.935 2.709 -3.843 -2.029 -1.909 -1.096 -4.491 1.077" Properties=species:S:1:pos:R:3 pbc="T T T"
Hg -2.181 -1.864 0.469
Hg -6.542 -5.591 1.408
Rh -4.361 -3.728 0.939
Sc 0.000 0.000 0.000
```

(12)
## La4Tb3Dy (PBE)

Data for a relaxed structure of La4Tb3Dy.

## Properties
The density of states at the Fermi level comes out at 1.724 states/eV per atom. The value obtained for the relative energy among the computed polymorphs is 0.74 kJ per mole of atoms. As for the calculated density: 7.17 Mg/m³. The value obtained for the formation energy is 0.034 eV/atom. The calculation puts the calculated total energy at -75.9 eV for the cell shown. Its calculated volume is 276.9 Å³/f.u.

Structure (extended XYZ):
```
16
Lattice="-5.206 -3.297 -1.730 4.081 -4.011 -4.637 2.081 -7.775 8.557" Properties=species:S:1:pos:R:3 pbc="T T T"
Tb -1.002 -11.551 1.846
Tb -0.846 -4.631 -4.002
Tb 0.612 -8.930 3.831
Tb 1.810 -5.900 2.263
Tb -0.428 -5.045 -0.446
Tb -2.043 -7.662 -2.435
La 1.593 -7.022 -2.731
La -4.052 -5.677 -0.145
La 2.633 -10.905 1.543
La -1.834 -6.540 2.567
La 3.818 -7.885 -0.029
La -3.010 -9.569 4.138
La 2.779 -4.003 -4.313
La -2.868 -2.655 -1.715
Dy 0.770 -2.015 -2.018
Dy 0.191 -8.518 0.278
```